# Li3SiRh4, relaxed, DFT PBE
data_Li3SiRh4
_space_group_name_H-M_alt 'P 1'
_space_group_IT_number 1
_cell_length_a 12.384
_cell_length_b 4.117
_cell_length_c 4.117
_cell_angle_alpha 90.00
_cell_angle_beta 109.35
_cell_angle_gamma 90.00
loop_
_space_group_symop_operation_xyz
'x,y,z'
loop_
_atom_site_label
_atom_site_fract_x
_atom_site_fract_y
_atom_site_fract_z
Li1 0.000 0.000 0.000
Li2 0.247 0.000 0.247
Li3 0.253 0.500 0.753
Li4 0.500 0.500 0.000
Li5 0.747 0.500 0.247
Li6 0.753 0.000 0.753
Si1 0.000 0.500 0.500
Si2 0.500 0.000 0.500
Rh1 0.121 0.000 0.622
Rh2 0.121 0.500 0.121
Rh3 0.379 0.000 0.879
Rh4 0.379 0.500 0.378
Rh5 0.621 0.000 0.121
Rh6 0.621 0.500 0.622
Rh7 0.879 0.000 0.378
Rh8 0.879 0.500 0.879
# Total energy, eV per atom: -5.464
# Symmetry: No. 12
# Crystal system: monoclinic
# Raw formation energy, eV per formula unit: -3.14
# Volume, Å³/atom: 12.38
# DOS at the Fermi energy, states/eV/f.u.: 7.78

# LaPuSbI, relaxed, DFT PBE
data_LaPuSbI
_space_group_name_H-M_alt 'P 1'
_space_group_IT_number 1
_cell_length_a 7.832
_cell_length_b 7.832
_cell_length_c 7.832
_cell_angle_alpha 90.00
_cell_angle_beta 90.00
_cell_angle_gamma 90.00
loop_
_space_group_symop_operation_xyz
'x,y,z'
loop_
_atom_site_label
_atom_site_fract_x
_atom_site_fract_y
_atom_site_fract_z
La1 0.000 0.000 0.000
La2 0.000 0.500 0.500
La3 0.500 0.000 0.500
La4 0.500 0.500 0.000
Pu1 0.000 0.000 0.500
Pu2 0.000 0.500 0.000
Pu3 0.500 0.000 0.000
Pu4 0.500 0.500 0.500
Sb1 0.250 0.250 0.750
Sb2 0.250 0.750 0.250
Sb3 0.750 0.250 0.250
Sb4 0.750 0.750 0.750
I1 0.250 0.250 0.250
I2 0.250 0.750 0.750
I3 0.750 0.250 0.750
I4 0.750 0.750 0.250
# Total energy, eV per atom: -7.076
# Symmetry: No. 216
# Crystal system: cubic
# Raw formation energy, eV per formula unit: -3.37
# Volume, Å³/atom: 30.03
# DOS at the Fermi energy, states/eV/f.u.: 8.47

# CdAg2Pd6, relaxed, DFT PBE
data_CdAg2Pd6
_space_group_name_H-M_alt 'P 1'
_space_group_IT_number 1
_cell_length_a 8.029
_cell_length_b 8.029
_cell_length_c 2.920
_cell_angle_alpha 94.90
_cell_angle_beta 94.90
_cell_angle_gamma 126.35
loop_
_space_group_symop_operation_xyz
'x,y,z'
loop_
_atom_site_label
_atom_site_fract_x
_atom_site_fract_y
_atom_site_fract_z
Cd1 0.000 0.000 0.000
Ag1 0.173 0.827 0.500
Ag2 0.827 0.173 0.500
Pd1 0.171 0.496 0.159
Pd2 0.334 0.334 0.664
Pd3 0.496 0.171 0.159
Pd4 0.504 0.829 0.841
Pd5 0.666 0.666 0.336
Pd6 0.829 0.504 0.841
# Total energy, eV per atom: -4.226
# Symmetry: No. 12
# Crystal system: monoclinic
# Energy of formation, eV/atom: -0.028
# Volume, Å³/atom: 16.54
# DOS at the Fermi energy, states/eV/f.u.: 10.51
# Polymorph energy (0 for the lowest one), meV per atom: 90.5

# YHgF3, relaxed, DFT PBE
data_YHgF3
_space_group_name_H-M_alt 'P 1'
_space_group_IT_number 1
_cell_length_a 4.625
_cell_length_b 4.625
_cell_length_c 4.625
_cell_angle_alpha 90.00
_cell_angle_beta 90.00
_cell_angle_gamma 90.00
loop_
_space_group_symop_operation_xyz
'x,y,z'
loop_
_atom_site_label
_atom_site_fract_x
_atom_site_fract_y
_atom_site_fract_z
Y1 0.000 0.000 0.000
Hg1 0.500 0.500 0.500
F1 0.000 0.500 0.500
F2 0.500 0.000 0.500
F3 0.500 0.500 0.000
# Total energy, eV per atom: -3.879
# Symmetry: No. 221
# Crystal system: cubic
# Raw formation energy, eV per formula unit: -7.01
# Volume, Å³/atom: 19.79
# DOS at the Fermi energy, states/eV/f.u.: 4.69
# Polymorph energy (0 for the lowest one), meV per atom: 1726.7